# NaSI2O PBE optimized geometry
# volume	126	Å³/f.u.
# density of states at the Fermi level	0.11	states/eV/atom
# mass density	4.29	g/cm3
# uncorrected energy	-2.99	eV per atom
# total magnetic moment	0.00	μB/cell
# distance to the lowest polymorph of the same formula	0.0	meV/atom
# energy relative to the elements, uncorrected	-141	kJ/mol of formula units
data_NaSI2O
_chemical_formula_sum 'Na1 S1 I2 O1'
_space_group_name_H-M_alt 'P 1'
_space_group_IT_number 1
_cell_length_a 5.845
_cell_length_b 5.845
_cell_length_c 3.677
_cell_angle_alpha 90.00
_cell_angle_beta 90.00
_cell_angle_gamma 90.00
loop_
_space_group_symop_operation_xyz
'x,y,z'
loop_
_atom_site_label
_atom_site_type_symbol
_atom_site_fract_x
_atom_site_fract_y
_atom_site_fract_z
Na1 Na 0.000 0.000 0.000
S1 S 0.500 0.500 0.500
I1 I 0.000 0.500 0.500
I2 I 0.500 0.000 0.500
O1 O 0.500 0.500 0.000